Here is a relaxed NdTmZr2 crystal from Alexandria via LeMat-Bulk. Energies are from PBE-GGA.

## Properties
Its magnetization is 0.000 μB/cell. The calculation puts the distance to the lowest polymorph of the same formula at 8 meV/atom. Its formation energy from the elements is 60 kJ/mol of formula units.

Cell lengths 11.1892, 11.1892, 11.1892 Å; angles 17.26, 17.26, 17.26 degrees
Fractional positions:
Nd 0.0000 0.0000 0.0000
Tm 0.5000 0.5000 0.5000
Zr 0.2485 0.2485 0.2485
Zr 0.7515 0.7515 0.7515


Here is a relaxed NaV crystal from Alexandria via LeMat-Bulk. Energies are from PBE-GGA.

## Properties
Its magnetization is 0.000 μB/cell. The calculation puts the distance to the lowest polymorph of the same formula at 0 meV/atom. Its formation energy from the elements is 94 kJ/mol of formula units.

Cell lengths 2.8640, 2.8642, 10.5163 Å; angles 89.25, 89.08, 68.52 degrees
Fractional positions:
Na 0.2302 0.2335 0.3433
Na 0.7698 0.7665 0.6567
V 0.2539 0.2525 0.9205
V 0.7461 0.7475 0.0795


Here is a relaxed LiCe2HoTl4 crystal from Alexandria via LeMat-Bulk. Energies are from PBE-GGA.

## Properties
Its magnetization is 1.907 μB/cell. Its formation energy from the elements is -205 kJ/mol of formula units.

Cell lengths 9.4533, 9.4533, 9.4533 Å; angles 32.70, 32.70, 32.70 degrees
Fractional positions:
Li 0.0000 0.0000 0.0000
Ce 0.2542 0.2542 0.2542
Ce 0.7458 0.7458 0.7458
Ho 0.5000 0.5000 0.5000
Tl 0.1236 0.1236 0.1236
Tl 0.3735 0.3735 0.3735
Tl 0.6265 0.6265 0.6265
Tl 0.8764 0.8764 0.8764


Here is a relaxed NaAcGa crystal from Alexandria via LeMat-Bulk. Energies are from PBE-GGA.

## Properties
Its magnetization is 0.000 μB/cell. The calculation puts the distance to the lowest polymorph of the same formula at 205 meV/atom. Its formation energy from the elements is -27 kJ/mol of formula units.

Cell lengths 5.2677, 5.2677, 3.7370 Å; angles 90.00, 90.00, 120.00 degrees
Fractional positions:
Na 0.0000 0.0000 0.0000
Ac 0.6667 0.3333 0.5009
Ga 0.3333 0.6667 0.0023


Here is a relaxed ScAsCl crystal from Alexandria via LeMat-Bulk. Energies are from PBE-GGA.

## Properties
For the energy relative to the elements, uncorrected, the calculation gives -1.288 eV per atom. Its magnetization is 0.000 μB/cell. The calculation puts the distance to the lowest polymorph of the same formula at 0 meV/atom.

Cell lengths 3.9319, 3.9319, 11.6580 Å; angles 90.18, 90.18, 60.02 degrees
Fractional positions:
Sc 0.1686 0.1686 0.2207
Sc 0.8314 0.8314 0.7793
As 0.4985 0.4985 0.8984
As 0.5015 0.5015 0.1016
Cl 0.1641 0.1641 0.6526
Cl 0.8359 0.8359 0.3474


Here is a relaxed KBe4Cd crystal from Alexandria via LeMat-Bulk. Energies are from PBE-GGA.

## Properties
Its magnetization is 0.000 μB/cell. Its formation energy from the elements is 396 kJ/mol of formula units.

Cell lengths 4.9914, 4.9914, 4.9914 Å; angles 60.00, 60.00, 60.00 degrees
Fractional positions:
K 0.0000 0.0000 0.0000
Be 0.1483 0.6172 0.6172
Be 0.6172 0.1483 0.6172
Be 0.6172 0.6172 0.1483
Be 0.6172 0.6172 0.6172
Cd 0.2500 0.2500 0.2500


Here is a relaxed LaTl2Sb2O6 crystal from Alexandria via LeMat-Bulk. Energies are from PBE-GGA.

## Properties
For the energy relative to the elements, uncorrected, the calculation gives -1.561 eV per atom. Its magnetization is 0.000 μB/cell.

Cell lengths 6.0822, 6.0822, 8.1125 Å; angles 113.15, 113.15, 64.09 degrees
Fractional positions:
La 0.0000 0.0000 0.0000
Tl 0.2181 0.2181 0.7128
Tl 0.7819 0.7819 0.2872
Sb 0.4443 0.4443 0.2646
Sb 0.5557 0.5557 0.7354
O 0.2210 0.6706 0.7738
O 0.2519 0.2519 0.0465
O 0.3293 0.7790 0.2262
O 0.6706 0.2210 0.7738
O 0.7481 0.7481 0.9535
O 0.7790 0.3293 0.2262


Here is a relaxed LaPmTlSn crystal from Alexandria via LeMat-Bulk. Energies are from PBE-GGA.

## Properties
Its magnetization is 0.469 μB/cell. The calculation puts the distance to the lowest polymorph of the same formula at 0 meV/atom. Its formation energy from the elements is -209 kJ/mol of formula units.

Cell lengths 4.1043, 4.1043, 7.1203 Å; angles 90.00, 90.00, 90.00 degrees
Fractional positions:
La 0.0000 0.0000 0.0000
Pm 0.0000 0.0000 0.5222
Tl 0.5000 0.5000 0.2742
Sn 0.5000 0.5000 0.7482


Here is a relaxed PuCd2Pt9 crystal from Alexandria via LeMat-Bulk. Energies are from PBE-GGA.

## Properties
Its magnetization is 4.570 μB/cell. Its formation energy from the elements is -420 kJ/mol of formula units.

Cell lengths 9.2888, 9.2888, 9.2888 Å; angles 33.66, 33.66, 33.66 degrees
Fractional positions:
Pu 0.0000 0.0000 0.0000
Cd 0.1444 0.1444 0.1444
Cd 0.8556 0.8556 0.8556
Pt 0.0810 0.5871 0.5871
Pt 0.3335 0.3335 0.3335
Pt 0.4129 0.4129 0.9190
Pt 0.4129 0.9190 0.4129
Pt 0.5000 0.5000 0.5000
Pt 0.5871 0.0810 0.5871
Pt 0.5871 0.5871 0.0810
Pt 0.6665 0.6665 0.6665
Pt 0.9190 0.4129 0.4129


Here is a relaxed HgAsBr2 crystal from Alexandria via LeMat-Bulk. Energies are from PBE-GGA.

## Properties
For the energy relative to the elements, uncorrected, the calculation gives -0.125 eV per atom. Its magnetization is 0.000 μB/cell. The calculation puts the distance to the lowest polymorph of the same formula at 0 meV/atom.

Cell lengths 3.4761, 3.7425, 10.3254 Å; angles 90.00, 90.89, 90.00 degrees
Fractional positions:
Hg 0.0000 0.0000 0.0000
As 0.5000 0.0000 0.5000
Br 0.4937 0.5000 0.3183
Br 0.5063 0.5000 0.6817


Which value of magnetization does entry 9 give? 4.570 μB/cell


What is the formula in the first record? NdTmZr2


Look up the magnetization of the eighth one. 0.469 μB/cell